# 1
A plane-wave DFT calculation with meta-GGA SCAN was carried out for KZr4Pt at its PBEsol-relaxed geometry.

Computed properties:
E = -197.61 eV per formula unit
symmetry = F-43m (216)

abc: 5.7226 5.7226 5.7226
angles: 60.00 60.00 60.00
Positions (direct):
Zr 0.8826 0.3725 0.3725
Zr 0.3725 0.3725 0.8826
K 0.7500 0.7500 0.7500
Zr 0.3725 0.3725 0.3725
Pt 0.0000 0.0000 0.0000
Zr 0.3725 0.8826 0.3725

---

# 2
A plane-wave DFT calculation with meta-GGA SCAN was carried out for KZrPt at its PBEsol-relaxed geometry.

Computed properties:
E = -108.50 eV per formula unit
symmetry = F-43m (216)
E above lowest polymorph = 432 meV per atom

abc: 4.7125 4.7125 4.7125
angles: 60.00 60.00 60.00
Positions (direct):
Zr 0.0000 0.0000 0.0000
K 0.5000 0.5000 0.5000
Pt 0.2500 0.2500 0.2500

---

Number 1: density of states at the Fermi level 1.221 states/eV per atom, volume 22.1 Å³/atom, formation enthalpy at 0 K 0.62 eV/atom. Number 2: density of states at the Fermi level 1.202 states/eV per atom, volume 24.7 Å³/atom, formation enthalpy at 0 K 0.24 eV/atom.